A geometry-optimized PaPdSe2O8 structure, computed with PBE.

## Properties
ΔE_f (raw) = -1105 meV/atom
Space-group type = I-4
Total moment = 1.01 μB/f.u.

Lattice parameters (Å, degrees): 6.632 6.632 6.632 132.59 132.59 69.30
Element x y z (fractional)
Pa 0.000 0.000 0.000
Pd 0.250 0.750 0.500
Se 0.500 0.500 0.000
Se 0.750 0.250 0.500
O 0.254 0.629 0.054
O 0.371 0.425 0.625
O 0.379 0.013 0.083
O 0.575 0.200 0.946
O 0.705 0.621 0.635
O 0.800 0.746 0.375
O 0.930 0.295 0.917
O 0.987 0.070 0.365

=====

A geometry-optimized TbPm2Ge structure, computed with PBE.

## Properties
ΔE to the lowest computed polymorph = 324.4 meV per atom
DFT formation energy = -0.056 eV/f.u.
Space-group type = R-3m
Total moment = 0.84 μB/f.u.

Lattice parameters (Å, degrees): 11.227 11.227 11.227 18.86 18.86 18.86
Element x y z (fractional)
Tb 0.000 0.000 0.000
Pm 0.105 0.105 0.105
Pm 0.895 0.895 0.895
Ge 0.500 0.500 0.500

=====

A geometry-optimized ScGaRe3 structure, computed with PBE.

## Properties
ΔE to the lowest computed polymorph = 1032.9 meV per atom
DFT formation energy = 12.174 eV/f.u.
Space-group type = Pm-3m
Total moment = 1.57 μB/f.u.

Lattice parameters (Å, degrees): 4.619 4.619 4.619 90.00 90.00 90.00
Element x y z (fractional)
Sc 0.000 0.000 0.000
Ga 0.500 0.500 0.500
Re 0.000 0.000 0.500
Re 0.000 0.500 0.000
Re 0.500 0.000 0.000

=====

A geometry-optimized NbSb2IO structure, computed with PBE.

## Properties
ΔE to the lowest computed polymorph = 396.7 meV per atom
ΔE_f (raw) = 756 meV/atom
Space-group type = P4/mmm
Total moment = 0.00 μB/f.u.

Lattice parameters (Å, degrees): 5.361 5.361 5.294 90.00 90.00 90.00
Element x y z (fractional)
Nb 0.000 0.000 0.000
Sb 0.000 0.500 0.000
Sb 0.500 0.000 0.000
I 0.000 0.000 0.500
O 0.500 0.500 0.500

=====

A geometry-optimized La12Pm3Cd structure, computed with PBE.

## Properties
DFT formation energy = -0.361 eV/f.u.
Space-group type = P4/mmm
Total moment = 0.00 μB/f.u.

Lattice parameters (Å, degrees): 5.192 5.192 20.937 90.00 90.00 90.00
Element x y z (fractional)
La 0.000 0.000 0.000
La 0.000 0.000 0.247
La 0.000 0.000 0.500
La 0.000 0.000 0.753
La 0.000 0.500 0.121
La 0.000 0.500 0.373
La 0.000 0.500 0.627
La 0.000 0.500 0.879
La 0.500 0.000 0.121
La 0.500 0.000 0.373
La 0.500 0.000 0.627
La 0.500 0.000 0.879
Pm 0.500 0.500 0.246
Pm 0.500 0.500 0.500
Pm 0.500 0.500 0.754
Cd 0.500 0.500 0.000

=====

A geometry-optimized KWSe4 structure, computed with PBE.

## Properties
ΔE to the lowest computed polymorph = 0.0 meV per atom
ΔE_f (raw) = -375 meV/atom
Space-group type = C2/m
Total moment = 0.00 μB/f.u.

Lattice parameters (Å, degrees): 8.522 8.522 6.056 98.25 98.25 53.43
Element x y z (fractional)
K 0.198 0.198 0.195
K 0.802 0.802 0.805
W 0.493 0.493 0.742
W 0.507 0.507 0.258
Se 0.203 0.609 0.454
Se 0.242 0.758 0.000
Se 0.310 0.310 0.745
Se 0.391 0.797 0.546
Se 0.609 0.203 0.454
Se 0.690 0.690 0.255
Se 0.758 0.242 0.000
Se 0.797 0.391 0.546

=====

A geometry-optimized PmSmPuTl structure, computed with PBE.

## Properties
DFT formation energy = 0.376 eV/f.u.
Space-group type = F-43m
Total moment = 6.88 μB/f.u.

Lattice parameters (Å, degrees): 5.518 5.518 5.518 60.00 60.00 60.00
Element x y z (fractional)
Pm 0.000 0.000 0.000
Sm 0.750 0.750 0.750
Pu 0.250 0.250 0.250
Tl 0.500 0.500 0.500

=====

A geometry-optimized BiAu2Br structure, computed with PBE.

## Properties
ΔE to the lowest computed polymorph = 0.0 meV per atom
ΔE_f (raw) = 116 meV/atom
Space-group type = I-42d
Total moment = 0.00 μB/f.u.

Lattice parameters (Å, degrees): 7.233 7.233 7.233 122.38 122.38 85.93
Element x y z (fractional)
Bi 0.000 0.000 0.000
Bi 0.750 0.250 0.500
Au 0.114 0.625 0.989
Au 0.375 0.364 0.489
Au 0.636 0.125 0.011
Au 0.875 0.886 0.511
Br 0.250 0.750 0.500
Br 0.500 0.500 0.000

=====

A geometry-optimized SrGe2F2 structure, computed with PBE.

## Properties
ΔE to the lowest computed polymorph = 15.9 meV per atom
ΔE_f (raw) = -1067 meV/atom
Space-group type = I4/mmm
Total moment = 0.00 μB/f.u.

Lattice parameters (Å, degrees): 5.907 5.907 5.907 135.09 135.09 65.39
Element x y z (fractional)
Sr 0.000 0.000 0.000
Ge 0.384 0.384 0.000
Ge 0.616 0.616 0.000
F 0.250 0.750 0.500
F 0.750 0.250 0.500

=====

A geometry-optimized ScCd2Hg structure, computed with PBE.

## Properties
DFT formation energy = -0.215 eV/f.u.
Space-group type = R3m
Total moment = 0.01 μB/f.u.

Lattice parameters (Å, degrees): 9.911 9.911 9.911 19.40 19.40 19.40
Element x y z (fractional)
Sc 0.000 0.000 0.000
Cd 0.584 0.584 0.584
Cd 0.750 0.750 0.750
Hg 0.167 0.167 0.167

=====

A geometry-optimized MgCdGe2F structure, computed with PBE.

## Properties
ΔE_f (raw) = 320 meV/atom
Space-group type = P4/mmm
Total moment = 0.00 μB/f.u.

Lattice parameters (Å, degrees): 5.059 5.059 5.444 90.00 90.00 90.00
Element x y z (fractional)
Mg 0.000 0.000 0.000
Cd 0.000 0.000 0.500
Ge 0.000 0.500 0.500
Ge 0.500 0.000 0.500
F 0.500 0.500 0.000

=====

A geometry-optimized HoZr5Sc12 structure, computed with PBE.

## Properties
DFT formation energy = 0.437 eV/f.u.
Space-group type = C2/m
Total moment = 0.00 μB/f.u.

Lattice parameters (Å, degrees): 5.639 5.639 15.923 93.38 93.38 120.02
Element x y z (fractional)
Ho 0.000 0.000 0.000
Zr 0.165 0.835 0.500
Zr 0.333 0.667 0.000
Zr 0.500 0.500 0.500
Zr 0.667 0.333 0.000
Zr 0.835 0.165 0.500
Sc 0.054 0.393 0.165
Sc 0.111 0.111 0.335
Sc 0.221 0.555 0.661
Sc 0.284 0.284 0.835
Sc 0.393 0.054 0.165
Sc 0.445 0.779 0.339
Sc 0.555 0.221 0.661
Sc 0.607 0.946 0.835
Sc 0.716 0.716 0.165
Sc 0.779 0.445 0.339
Sc 0.889 0.889 0.665
Sc 0.946 0.607 0.835